# Sr2ScSnO6 | Alexandria via LeMat-Bulk | PBE | optimized geometry
# energy relative to the elements, uncorrected	-2.51	eV/atom
data_Sr2ScSnO6
_chemical_formula_sum 'Sr8 Sc4 Sn4 O24'
_cell_length_a 8.257
_cell_length_b 8.257
_cell_length_c 8.257
_cell_angle_alpha 90.00
_cell_angle_beta 90.00
_cell_angle_gamma 90.00
_symmetry_space_group_name_H-M 'F m -3 m'
_symmetry_Int_Tables_number 225
_symmetry_space_group_name_Hall '-F 4 2 3'
loop_
_atom_site_label
_atom_site_type_symbol
_atom_site_fract_x
_atom_site_fract_y
_atom_site_fract_z
_atom_site_occupancy
Sr1 Sr 0.250 0.250 0.250 1
Sc1 Sc 0.000 0.000 0.000 1
Sn1 Sn 0.000 0.000 0.500 1
O1 O 0.000 0.000 0.251 1

=====

# TlIrPt | Alexandria via LeMat-Bulk | PBE | optimized geometry
# energy above the lowest structure with this stoichiometry	63.9	meV per atom
# energy of formation from the pure elements	0.476	eV per atom
data_TlIrPt
_chemical_formula_sum 'Tl4 Ir4 Pt4'
_cell_length_a 6.285
_cell_length_b 6.285
_cell_length_c 6.285
_cell_angle_alpha 90.00
_cell_angle_beta 90.00
_cell_angle_gamma 90.00
_symmetry_space_group_name_H-M 'F -4 3 m'
_symmetry_Int_Tables_number 216
_symmetry_space_group_name_Hall 'F -4 2 3'
loop_
_atom_site_label
_atom_site_type_symbol
_atom_site_fract_x
_atom_site_fract_y
_atom_site_fract_z
_atom_site_occupancy
Tl1 Tl 0.000 0.000 0.000 1
Ir1 Ir 0.250 0.250 0.750 1
Pt1 Pt 0.000 0.000 0.500 1

=====

# K4Br2O | Alexandria via LeMat-Bulk | PBE | optimized geometry
# energy relative to the elements, uncorrected	-1.46	eV/atom
data_K4Br2O
_chemical_formula_sum 'K8 Br4 O2'
_cell_length_a 5.233
_cell_length_b 5.233
_cell_length_c 16.751
_cell_angle_alpha 90.00
_cell_angle_beta 90.00
_cell_angle_gamma 90.00
_symmetry_space_group_name_H-M 'I 4/m m m'
_symmetry_Int_Tables_number 139
_symmetry_space_group_name_Hall '-I 4 2'
loop_
_atom_site_label
_atom_site_type_symbol
_atom_site_fract_x
_atom_site_fract_y
_atom_site_fract_z
_atom_site_occupancy
K1 K 0.000 0.000 0.154 1
K2 K 0.000 0.500 0.000 1
Br1 Br 0.000 0.000 0.355 1
O1 O 0.000 0.000 0.000 1

=====

# Zr6Cd3Au | Alexandria via LeMat-Bulk | PBE | optimized geometry
# energy of formation from the pure elements	0.068	eV per atom
data_Zr6Cd3Au
_chemical_formula_sum 'Zr12 Cd6 Au2'
_cell_length_a 10.440
_cell_length_b 5.782
_cell_length_c 7.808
_cell_angle_alpha 90.00
_cell_angle_beta 107.39
_cell_angle_gamma 90.00
_symmetry_space_group_name_H-M 'C 1 2/m 1'
_symmetry_Int_Tables_number 12
loop_
_symmetry_equiv_pos_as_xyz
'x,y,z'
'-x,-y,-z'
'-x,y,-z'
'x,-y,z'
'x+1/2,y+1/2,z'
'-x+1/2,-y+1/2,-z'
'-x+1/2,y+1/2,-z'
'x+1/2,-y+1/2,z'
loop_
_atom_site_label
_atom_site_type_symbol
_atom_site_fract_x
_atom_site_fract_y
_atom_site_fract_z
_atom_site_occupancy
Zr1 Zr 0.137 0.000 0.432 1
Zr2 Zr 0.158 0.244 0.811 1
Cd1 Cd 0.000 0.500 0.500 1
Cd2 Cd 0.099 0.500 0.193 1
Au1 Au 0.000 0.000 0.000 1

=====

# CePbO | Alexandria via LeMat-Bulk | PBE | optimized geometry
# energy above the lowest structure with this stoichiometry	0.0	meV per atom
# energy relative to the elements, uncorrected	-1.89	eV/atom
data_CePbO
_chemical_formula_sum 'Ce6 Pb6 O6'
_cell_length_a 3.9092
_cell_length_b 3.9092
_cell_length_c 33.1429
_cell_angle_alpha 90.00
_cell_angle_beta 90.00
_cell_angle_gamma 120.00
_symmetry_space_group_name_H-M 'R -3 m'
_symmetry_Int_Tables_number 166
_symmetry_space_group_name_Hall '-R 3 2"'
loop_
_atom_site_label
_atom_site_type_symbol
_atom_site_fract_x
_atom_site_fract_y
_atom_site_fract_z
_atom_site_occupancy
Ce1 Ce 0.0000 0.0000 0.1218 1
Pb1 Pb 0.0000 0.0000 0.3684 1
O1 O 0.0000 0.0000 0.1950 1

=====

# In2PbF2 | Alexandria via LeMat-Bulk | PBE | optimized geometry
# energy above the lowest structure with this stoichiometry	144.4	meV per atom
# energy relative to the elements, uncorrected	-1.11	eV/atom
data_In2PbF2
_chemical_formula_sum 'In4 Pb2 F4'
_cell_length_a 8.062
_cell_length_b 8.062
_cell_length_c 3.214
_cell_angle_alpha 90.00
_cell_angle_beta 90.00
_cell_angle_gamma 90.00
_symmetry_space_group_name_H-M 'P 4/m b m'
_symmetry_Int_Tables_number 127
_symmetry_space_group_name_Hall '-P 4 2ab'
loop_
_atom_site_label
_atom_site_type_symbol
_atom_site_fract_x
_atom_site_fract_y
_atom_site_fract_z
_atom_site_occupancy
In1 In 0.151 0.349 0.000 1
Pb1 Pb 0.000 0.000 0.500 1
F1 F 0.114 0.614 0.500 1

=====

# ThPaGe2Rh5 | Alexandria via LeMat-Bulk | PBE | optimized geometry
# energy of formation from the pure elements	-0.506	eV per atom
data_ThPaGe2Rh5
_chemical_formula_sum 'Th1 Pa1 Ge2 Rh5'
_cell_length_a 4.006
_cell_length_b 4.006
_cell_length_c 11.505
_cell_angle_alpha 90.00
_cell_angle_beta 90.00
_cell_angle_gamma 90.00
_symmetry_space_group_name_H-M 'P 4/m m m'
_symmetry_Int_Tables_number 123
_symmetry_space_group_name_Hall '-P 4 2'
loop_
_atom_site_label
_atom_site_type_symbol
_atom_site_fract_x
_atom_site_fract_y
_atom_site_fract_z
_atom_site_occupancy
Th1 Th 0.000 0.000 0.000 1
Pa1 Pa 0.500 0.500 0.500 1
Ge1 Ge 0.500 0.500 0.210 1
Rh1 Rh 0.000 0.500 0.336 1
Rh2 Rh 0.500 0.500 0.000 1

=====

# KSr2Ir | Alexandria via LeMat-Bulk | PBE | optimized geometry
# energy above the lowest structure with this stoichiometry	474.9	meV per atom
# energy of formation from the pure elements	0.479	eV per atom
data_KSr2Ir
_chemical_formula_sum 'K4 Sr8 Ir4'
_cell_length_a 7.942
_cell_length_b 7.942
_cell_length_c 7.942
_cell_angle_alpha 90.00
_cell_angle_beta 90.00
_cell_angle_gamma 90.00
_symmetry_space_group_name_H-M 'F -4 3 m'
_symmetry_Int_Tables_number 216
_symmetry_space_group_name_Hall 'F -4 2 3'
loop_
_atom_site_label
_atom_site_type_symbol
_atom_site_fract_x
_atom_site_fract_y
_atom_site_fract_z
_atom_site_occupancy
K1 K 0.000 0.000 0.000 1
Sr1 Sr 0.000 0.000 0.500 1
Sr2 Sr 0.250 0.250 0.750 1
Ir1 Ir 0.250 0.250 0.250 1